Record 1
Density functional theory data (PBE-GGA) for a relaxed structure of Ho2Si3PdPt12.

Unit cell a=7.5350 b=7.5350 c=7.5350 alpha=66.49 beta=66.49 gamma=66.49
Atoms (fractional coordinates):
Pt (0.1046, 0.6428, 0.6428)
Pt (0.3847, 0.8593, 0.8593)
Pt (0.8954, 0.3572, 0.3572)
Pt (0.3572, 0.3572, 0.8954)
Pt (0.1407, 0.6153, 0.1407)
Pt (0.8593, 0.3847, 0.8593)
Ho (0.6066, 0.6066, 0.6066)
Si (0.0000, 0.0000, 0.5000)
Pt (0.6428, 0.1046, 0.6428)
Pt (0.8593, 0.8593, 0.3847)
Si (0.5000, 0.0000, 0.0000)
Ho (0.3934, 0.3934, 0.3934)
Pt (0.3572, 0.8954, 0.3572)
Pt (0.6428, 0.6428, 0.1046)
Pt (0.6153, 0.1407, 0.1407)
Pt (0.1407, 0.1407, 0.6153)
Si (0.0000, 0.5000, 0.0000)
Pd (0.0000, 0.0000, 0.0000)

formation energy from raw total energies	-7.81	eV per formula unit
N(E_F)	8.792	states/eV/f.u.
space group	R-3m (166)

---

Record 2
Density functional theory data (PBE-GGA) for a relaxed structure of LiSmGa2Pt5.

Unit cell a=4.1202 b=4.1202 c=9.6215 alpha=90.00 beta=90.00 gamma=90.00
Atoms (fractional coordinates):
Ga (0.5000, 0.5000, 0.1281)
Pt (0.5000, 0.0000, 0.2741)
Li (0.0000, 0.0000, 0.0000)
Sm (0.0000, 0.0000, 0.5000)
Pt (0.0000, 0.5000, 0.7259)
Ga (0.5000, 0.5000, 0.8719)
Pt (0.5000, 0.0000, 0.7259)
Pt (0.0000, 0.5000, 0.2741)
Pt (0.5000, 0.5000, 0.5000)

N(E_F)	2.952	states/eV/f.u.
calculated formation energy	-6.5	eV per formula unit
space group	P4/mmm (123)

---

Record 3
Density functional theory data (PBE-GGA) for a relaxed structure of KSbBr5.

Unit cell a=7.7284 b=7.7284 c=11.0878 alpha=70.02 beta=70.02 gamma=69.69
Atoms (fractional coordinates):
Br (0.7817, 0.3616, 0.9422)
Br (0.1224, 0.3140, 0.4015)
K (0.4482, 0.5518, 0.7500)
Br (0.9508, 0.0492, 0.2500)
Br (0.6860, 0.8776, 0.0985)
Br (0.3616, 0.7817, 0.4422)
Br (0.2183, 0.6384, 0.0578)
Br (0.8776, 0.6860, 0.5985)
Br (0.0492, 0.9508, 0.7500)
Br (0.6384, 0.2183, 0.5578)
Br (0.3140, 0.1224, 0.9015)
Sb (0.0000, 0.0000, 0.5000)
Sb (0.0000, 0.0000, 0.0000)
K (0.5518, 0.4482, 0.2500)

formation energy from raw total energies	-5.48	eV per formula unit
N(E_F)	3.724	states/eV/f.u.
space group	C2/c (15)

---

Record 4
Density functional theory data (PBE-GGA) for a relaxed structure of LiNdDy2In4.

Unit cell a=5.2416 b=5.2416 c=9.3135 alpha=73.66 beta=73.66 gamma=60.00
Atoms (fractional coordinates):
Li (0.5000, 0.5000, 0.5000)
In (0.6212, 0.6212, 0.1364)
Dy (0.7542, 0.7542, 0.7375)
Nd (0.0000, 0.0000, 0.0000)
Dy (0.2458, 0.2458, 0.2625)
In (0.1275, 0.1275, 0.6176)
In (0.8725, 0.8725, 0.3824)
In (0.3788, 0.3788, 0.8636)

N(E_F)	4.119	states/eV/f.u.
calculated formation energy	-3.3	eV per formula unit
space group	R-3m (166)

---

Record 5
Density functional theory data (PBE-GGA) for a relaxed structure of KHfGa.

Unit cell a=3.5581 b=12.7087 c=4.3236 alpha=80.59 beta=90.00 gamma=89.52
Atoms (fractional coordinates):
Hf (0.2124, 0.0650, 0.7672)
Hf (0.7067, 0.2522, 0.6772)
K (0.6942, 0.4977, 0.0580)
Ga (0.2068, 0.2452, 0.1805)
Ga (0.7122, 0.0720, 0.2638)
K (0.2156, 0.8195, 0.3871)

N(E_F)	1.490	states/eV/f.u.
calculated formation energy	-0.1	eV per formula unit
space group	P1 (1)
distance to the lowest polymorph of the same formula	0.14	eV/f.u.